# 1
Material: KTc4Ag
Method: DFT, PBE
State: optimized geometry

Calculated values
* N(E_F): 7.16 states/eV/f.u.
* space-group type: F-43m, No. 216
* energy: -6.55 eV/atom

a = 5.3278 Å, b = 5.3278 Å, c = 5.3278 Å
α = 60.00°, β = 60.00°, γ = 60.00°
Positions (direct):
K  0.0000  0.0000  0.0000
Tc  0.8749  0.3750  0.3750
Tc  0.3750  0.3750  0.8749
Tc  0.3750  0.8749  0.3750
Tc  0.3750  0.3750  0.3750
Ag  0.7500  0.7500  0.7500

***

# 2
Material: KTc2Ag
Method: DFT, PBE
State: optimized geometry

Calculated values
* N(E_F): 3.49 states/eV/f.u.
* space-group type: Cmm2, No. 35
* energy: -5.46 eV/atom

a = 2.7980 Å, b = 2.7980 Å, c = 10.5092 Å
α = 90.00°, β = 90.00°, γ = 115.11°
Positions (direct):
Ag  0.0000  0.0000  0.4713
K  0.5000  0.5000  0.7576
Tc  0.0000  0.0000  0.0377
Tc  0.5000  0.5000  0.2334

***

# 3
Material: KTc2Ag
Method: DFT, PBE
State: optimized geometry

Calculated values
* N(E_F): 4.96 states/eV/f.u.
* space-group type: R-3m, No. 166
* energy: -5.10 eV/atom

a = 10.9860 Å, b = 10.9860 Å, c = 10.9860 Å
α = 14.59°, β = 14.59°, γ = 14.59°
Site moments in Bohr magnetons follow the coordinates.
Positions (direct):
Ag  0.2500  0.2500  0.2500  0.06
K  0.7500  0.7500  0.7500  0.00
Tc  0.9909  0.9909  0.9909  0.68
Tc  0.5091  0.5091  0.5091  0.68

***

# 4
Material: KAg2Te
Method: DFT, PBE
State: optimized geometry

Calculated values
* N(E_F): 1.16 states/eV/f.u.
* space-group type: P4/mmm, No. 123
* raw formation energy: -0.02 eV/atom
* energy: -2.51 eV/atom

a = 4.6972 Å, b = 4.6972 Å, c = 4.6855 Å
α = 90.00°, β = 90.00°, γ = 90.00°
Positions (direct):
Ag  0.0000  0.0000  0.0000
Ag  0.5000  0.5000  0.0000
K  0.5000  0.0000  0.5000
Te  0.0000  0.5000  0.5000

***

# 5
Material: K2AgTe
Method: DFT, PBE
State: optimized geometry

Calculated values
* N(E_F): 4.84 states/eV/f.u.
* space-group type: R-3m, No. 166
* raw formation energy: -0.19 eV/atom
* energy: -2.23 eV/atom

a = 10.0163 Å, b = 10.0163 Å, c = 10.0163 Å
α = 25.40°, β = 25.40°, γ = 25.40°
Site moments in Bohr magnetons follow the coordinates.
Positions (direct):
Ag  0.7500  0.7500  0.7500  0.00
K  0.9982  0.9982  0.9982  0.00
K  0.5018  0.5018  0.5018  0.00
Te  0.2500  0.2500  0.2500  0.11

***

# 6
Material: KAg4Te
Method: DFT, PBE
State: optimized geometry

Calculated values
* N(E_F): 2.61 states/eV/f.u.
* space-group type: F-43m, No. 216
* raw formation energy: -0.07 eV/atom
* energy: -2.67 eV/atom

a = 5.7941 Å, b = 5.7941 Å, c = 5.7941 Å
α = 60.00°, β = 60.00°, γ = 60.00°
Positions (direct):
K  0.7500  0.7500  0.7500
Ag  0.8727  0.3758  0.3758
Ag  0.3758  0.3758  0.8727
Ag  0.3758  0.8727  0.3758
Ag  0.3758  0.3758  0.3758
Te  0.0000  0.0000  0.0000

***

Q: Which value of N(E_F) does entry 3 give?
A: 4.96 states/eV/f.u.

***

Q: Look up the N(E_F) of the third one.
A: 4.96 states/eV/f.u.

***

What did the fifth record say?
Material: K2AgTe
Method: DFT, PBE
State: optimized geometry

Calculated values
* N(E_F): 4.84 states/eV/f.u.
* space-group type: R-3m, No. 166
* raw formation energy: -0.19 eV/atom
* energy: -2.23 eV/atom

a = 10.0163 Å, b = 10.0163 Å, c = 10.0163 Å
α = 25.40°, β = 25.40°, γ = 25.40°
Site moments in Bohr magnetons follow the coordinates.
Positions (direct):
Ag  0.7500  0.7500  0.7500  0.00
K  0.9982  0.9982  0.9982  0.00
K  0.5018  0.5018  0.5018  0.00
Te  0.2500  0.2500  0.2500  0.11